1.
Computed, not measured: a geometry-optimized U5Te12Rh3 structure at the PBE-GGA level of DFT.

Energy in eV per atom: -5.728

```
data_U5Te12Rh3
_space_group_name_H-M_alt 'I a -3 d'
_space_group_IT_number 230
_space_group_name_Hall '-I 4bd 2c 3'
_cell_length_a 17.364
_cell_length_b 17.364
_cell_length_c 17.364
_cell_angle_alpha 90.00
_cell_angle_beta 90.00
_cell_angle_gamma 90.00
loop_
_atom_site_label
_atom_site_type_symbol
_atom_site_fract_x
_atom_site_fract_y
_atom_site_fract_z
_atom_site_occupancy
U1 U 0.000 0.000 0.000 1
U2 U 0.000 0.250 0.375 1
Te1 Te 0.028 0.096 0.645 1
Rh1 Rh 0.000 0.250 0.125 1
```

=====

2.
Computed, not measured: a geometry-optimized V2Te6Rh structure at the PBE-GGA level of DFT.

Energy in eV per atom: -5.229
ΔE to the lowest computed polymorph in eV/atom: 0.0000

```
data_V2Te6Rh
_space_group_name_H-M_alt 'P -3 m 1'
_space_group_IT_number 164
_space_group_name_Hall '-P 3 2"'
_cell_length_a 11.6713
_cell_length_b 11.6713
_cell_length_c 5.9313
_cell_angle_alpha 90.00
_cell_angle_beta 90.00
_cell_angle_gamma 120.00
loop_
_atom_site_label
_atom_site_type_symbol
_atom_site_fract_x
_atom_site_fract_y
_atom_site_fract_z
_atom_site_occupancy
V1 V 0.0000 0.3526 0.0000 1
Te1 Te 0.0988 0.5494 0.6988 1
Te2 Te 0.1142 0.2284 0.7684 1
Te3 Te 0.2253 0.4505 0.2196 1
Rh1 Rh 0.0000 0.0000 0.0000 1
Rh2 Rh 0.3333 0.6667 0.4783 1
```

=====

3.
Computed, not measured: a geometry-optimized VTe2Rh structure at the PBE-GGA level of DFT.

Energy in eV per atom: -5.584
ΔE to the lowest computed polymorph in eV/atom: 0.3818

```
data_VTe2Rh
_space_group_name_H-M_alt 'F m -3 m'
_space_group_IT_number 225
_space_group_name_Hall '-F 4 2 3'
_cell_length_a 6.715
_cell_length_b 6.715
_cell_length_c 6.715
_cell_angle_alpha 90.00
_cell_angle_beta 90.00
_cell_angle_gamma 90.00
loop_
_atom_site_label
_atom_site_type_symbol
_atom_site_fract_x
_atom_site_fract_y
_atom_site_fract_z
_atom_site_occupancy
V1 V 0.000 0.000 0.000 1
Te1 Te 0.250 0.250 0.250 1
Rh1 Rh 0.000 0.000 0.500 1
```

=====

4.
Computed, not measured: a geometry-optimized V2Te6Rh structure at the PBE-GGA level of DFT.

Energy in eV per atom: -5.211
ΔE to the lowest computed polymorph in eV/atom: 0.0179

```
data_V2Te6Rh
_space_group_name_H-M_alt 'C 1 2/c 1'
_space_group_IT_number 15
_space_group_name_Hall '-C 2yc'
_cell_length_a 14.839
_cell_length_b 11.776
_cell_length_c 6.314
_cell_angle_alpha 90.00
_cell_angle_beta 96.31
_cell_angle_gamma 90.00
loop_
_atom_site_label
_atom_site_type_symbol
_atom_site_fract_x
_atom_site_fract_y
_atom_site_fract_z
_atom_site_occupancy
V1 V 0.196 0.004 0.208 1
Te1 Te 0.091 0.133 0.928 1
Te2 Te 0.144 0.175 0.437 1
Te3 Te 0.163 0.461 0.018 1
Rh1 Rh 0.000 0.048 0.250 1
```

=====

5.
Computed, not measured: a geometry-optimized V2Te5Rh structure at the PBE-GGA level of DFT.

Energy in eV per atom: -5.249

```
data_V2Te5Rh
_space_group_name_H-M_alt 'F m m m'
_space_group_IT_number 69
_space_group_name_Hall '-F 2 2'
_cell_length_a 4.894
_cell_length_b 12.935
_cell_length_c 13.889
_cell_angle_alpha 90.00
_cell_angle_beta 90.00
_cell_angle_gamma 90.00
loop_
_atom_site_label
_atom_site_type_symbol
_atom_site_fract_x
_atom_site_fract_y
_atom_site_fract_z
_atom_site_occupancy
V1 V 0.000 0.000 0.194 1
Te1 Te 0.000 0.000 0.000 1
Te2 Te 0.000 0.131 0.344 1
Rh1 Rh 0.000 0.000 0.500 1
```

=====

6.
Computed, not measured: a geometry-optimized VTe6Rh2 structure at the PBE-GGA level of DFT.

Energy in eV per atom: -5.077

```
data_VTe6Rh2
_space_group_name_H-M_alt 'C 1 2/m 1'
_space_group_IT_number 12
_space_group_name_Hall '-C 2y'
_cell_length_a 13.416
_cell_length_b 3.801
_cell_length_c 10.757
_cell_angle_alpha 90.00
_cell_angle_beta 119.40
_cell_angle_gamma 90.00
loop_
_atom_site_label
_atom_site_type_symbol
_atom_site_fract_x
_atom_site_fract_y
_atom_site_fract_z
_atom_site_occupancy
V1 V 0.000 0.000 0.000 1
Te1 Te 0.004 0.000 0.751 1
Te2 Te 0.166 0.500 0.074 1
Te3 Te 0.186 0.500 0.580 1
Rh1 Rh 0.154 0.500 0.314 1
```